Density functional theory data (PBE) for a geometry-optimized Sr8AgN2 structure.

a b c (Å): 14.245 8.950 7.651
angles (deg): 90.00 94.48 90.00
Space group C2/m (No. 12)
Symmetry-distinct sites (fractional):
Sr: 0.132 0.216 0.292
Sr: 0.139 0.500 0.793
Sr: 0.142 0.000 0.859
Ag: 0.000 0.000 0.500
N: 0.195 0.000 0.161

* size of the total moment: 0.0000 μB per atom
* N(E_F): 7.11 states/eV/f.u.
* raw formation energy: -0.267 eV per atom
* VASP energy: -71.782 eV/cell